The following is a DFT calculation (GGA-PBE) of a relaxed structure of Pr3Dy2Hg7.

Values from the calculation:
Calculated density ... 10.49 g cm⁻³
Volume ... 340.7 Å³ per cell

Lattice parameters (Å, degrees): 5.644 5.215 11.865 102.70 90.00 90.00
Fractional positions:
Dy 0.000 0.142 0.283
Hg 0.000 0.724 0.449
Pr 0.500 0.672 0.344
Pr 0.500 0.500 0.000
Hg 0.000 0.276 0.551
Hg 0.000 0.424 0.849
Hg 0.000 0.576 0.151
Hg 0.000 0.000 0.000
Hg 0.500 0.088 0.177
Pr 0.500 0.328 0.656
Dy 0.000 0.858 0.717
Hg 0.500 0.912 0.823

***

The following is a DFT calculation (GGA-PBE) of a relaxed structure of LiPrSmMg.

Values from the calculation:
Calculated density ... 4.65 g cm⁻³
Volume ... 115.1 Å³ per cell

Lattice parameters (Å, degrees): 5.460 5.460 5.460 60.00 60.00 60.00
Fractional positions:
Sm 0.250 0.250 0.250
Mg 0.500 0.500 0.500
Li 0.000 0.000 0.000
Pr 0.750 0.750 0.750

***

The following is a DFT calculation (GGA-PBE) of a relaxed structure of Pr8Dy2Ho.

Values from the calculation:
Calculated density ... 6.91 g cm⁻³
E above lowest polymorph ... 0 meV per atom
Volume ... 388.4 Å³ per cell

Lattice parameters (Å, degrees): 6.762 10.429 10.429 38.51 59.99 59.99
Fractional positions:
Pr 0.768 0.653 0.175
Pr 0.833 0.245 0.245
Pr 0.274 0.404 0.404
Pr 0.167 0.755 0.755
Pr 0.232 0.347 0.825
Pr 0.726 0.596 0.596
Dy 0.579 0.806 0.806
Ho 0.000 0.000 0.000
Pr 0.232 0.825 0.347
Dy 0.421 0.194 0.194
Pr 0.768 0.175 0.653

***

The following is a DFT calculation (GGA-PBE) of a relaxed structure of LiAc2Dy.

Values from the calculation:
Calculated density ... 7.16 g cm⁻³
E above lowest polymorph ... 50 meV per atom
Volume ... 144.6 Å³ per cell

Lattice parameters (Å, degrees): 5.891 5.891 5.891 60.00 60.00 60.00
Fractional positions:
Ac 0.250 0.250 0.250
Li 0.500 0.500 0.500
Ac 0.750 0.750 0.750
Dy 0.000 0.000 0.000

***

The following is a DFT calculation (GGA-PBE) of a relaxed structure of Er4SnBiC.

Values from the calculation:
Calculated density ... 9.27 g cm⁻³
Volume ... 361.3 Å³ per cell

Lattice parameters (Å, degrees): 6.767 6.765 8.587 90.00 113.21 90.00
Fractional positions:
Er 0.500 0.000 0.500
Er 0.093 0.750 0.186
Bi 0.605 0.750 0.209
Er 0.907 0.250 0.814
Er 0.597 0.250 0.195
Sn 0.892 0.750 0.783
Er 0.000 0.000 0.500
Sn 0.108 0.250 0.217
C 0.751 0.250 0.502
C 0.249 0.750 0.498
Er 0.500 0.500 0.500
Er 0.000 0.500 0.500
Er 0.403 0.750 0.805
Bi 0.395 0.250 0.791

***

The following is a DFT calculation (GGA-PBE) of a relaxed structure of HfCd2Ni.

Values from the calculation:
Calculated density ... 9.68 g cm⁻³
E above lowest polymorph ... 238 meV per atom
Volume ... 79.3 Å³ per cell

Lattice parameters (Å, degrees): 2.992 2.992 10.371 81.71 81.71 60.00
Fractional positions:
Cd 0.902 0.902 0.295
Hf 0.000 0.000 0.000
Ni 0.500 0.500 0.500
Cd 0.098 0.098 0.705

***

The following is a DFT calculation (GGA-PBE) of a relaxed structure of La6NdAl.

Values from the calculation:
Calculated density ... 6.22 g cm⁻³
E above lowest polymorph ... 0 meV per atom
Volume ... 268.4 Å³ per cell

Lattice parameters (Å, degrees): 5.082 5.082 10.390 90.00 90.00 90.00
Fractional positions:
La 0.500 0.500 0.500
La 0.500 0.000 0.763
La 0.000 0.500 0.763
La 0.500 0.000 0.237
La 0.500 0.500 0.000
La 0.000 0.500 0.237
Nd 0.000 0.000 0.500
Al 0.000 0.000 0.000

***

The following is a DFT calculation (GGA-PBE) of a relaxed structure of Zr3P.

Values from the calculation:
Calculated density ... 6.41 g cm⁻³
E above lowest polymorph ... 475 meV per atom
Volume ... 157.9 Å³ per cell

Lattice parameters (Å, degrees): 9.856 9.856 9.856 156.03 156.03 34.16
Fractional positions:
Zr 0.124 0.124 0.000
Zr 0.750 0.250 0.500
P 0.387 0.387 0.000
P 0.613 0.613 0.000
Zr 0.500 0.000 0.500
Zr 0.000 0.500 0.500
Zr 0.250 0.750 0.500
Zr 0.876 0.876 0.000

***

The following is a DFT calculation (GGA-PBE) of a relaxed structure of Pa3Ga5Co.

Values from the calculation:
Calculated density ... 10.53 g cm⁻³
Volume ... 173.6 Å³ per cell

Lattice parameters (Å, degrees): 4.342 6.793 6.793 120.00 90.00 90.00
Fractional positions:
Pa 0.000 0.000 0.400
Pa 0.000 0.600 0.600
Pa 0.000 0.400 0.000
Ga 0.500 0.767 0.000
Ga 0.500 0.333 0.667
Ga 0.500 0.000 0.767
Ga 0.500 0.667 0.333
Co 0.000 0.000 0.000
Ga 0.500 0.233 0.233

***

The following is a DFT calculation (GGA-PBE) of a relaxed structure of Pr2DySn2.

Values from the calculation:
Calculated density ... 7.22 g cm⁻³
E above lowest polymorph ... 80 meV per atom
Volume ... 313.6 Å³ per cell

Lattice parameters (Å, degrees): 4.806 6.875 10.494 78.66 76.76 69.54
Fractional positions:
Sn 0.034 0.822 0.110
Pr 0.488 0.343 0.680
Pr 0.512 0.657 0.320
Sn 0.128 0.317 0.426
Dy 0.786 0.071 0.357
Sn 0.966 0.178 0.890
Pr 0.683 0.727 0.907
Sn 0.872 0.683 0.574
Dy 0.214 0.929 0.643
Pr 0.317 0.273 0.093

***

The following is a DFT calculation (GGA-PBE) of a relaxed structure of NdEr5Tl.

Values from the calculation:
Calculated density ... 6.97 g cm⁻³
Volume ... 282.1 Å³ per cell

Lattice parameters (Å, degrees): 6.236 7.920 7.618 121.32 114.16 90.00
Fractional positions:
Er 0.482 0.253 0.507
Er 0.034 0.500 0.000
Er 0.325 0.813 0.000
Er 0.325 0.187 0.000
Tl 0.563 0.500 0.000
Nd 0.825 0.000 0.000
Er 0.976 0.747 0.493

***

The following is a DFT calculation (GGA-PBE) of a relaxed structure of Sm2GdCu.

Values from the calculation:
Calculated density ... 7.78 g cm⁻³
E above lowest polymorph ... 0 meV per atom
Volume ... 111.3 Å³ per cell

Lattice parameters (Å, degrees): 3.578 3.578 8.690 90.00 90.00 90.00
Each line ends with the local moment (μB).
Fractional positions:
Cu 0.500 0.500 0.000  0.00
Sm 0.000 0.000 0.801  0.00
Sm 0.000 0.000 0.199  0.00
Gd 0.500 0.500 0.500  7.21

***

Number 1: E_form -4.04 eV/f.u.. Number 2: E_form 0.06 eV/f.u.. Number 3: E_form 1.81 eV/f.u.. Number 4: E_form 0.50 eV/f.u.. Number 5: E_form -4.66 eV/f.u.. Number 6: E_form 1.48 eV/f.u.. Number 7: E_form -0.55 eV/f.u.. Number 8: E_form -1.55 eV/f.u.. Number 9: E_form -3.18 eV/f.u.. Number 10: E_form -3.16 eV/f.u.. Number 11: E_form 4.97 eV/f.u.. Number 12: E_form -0.24 eV/f.u..